No. 1
# Zn2CrTe

Zn2CrTe after structural relaxation (PBE-GGA, Alexandria).

Geometry as POSCAR:
```
Zn2CrTe
1.0
1.693 0.977 8.252
-1.693 0.977 8.252
0.000 -1.955 8.252
Zn Cr Te
2 1 1
Direct
0.243 0.243 0.243 Zn
0.757 0.757 0.757 Zn
0.500 0.500 0.500 Cr
0.000 0.000 0.000 Te
```

total magnetic moment = 4.12 μB per formula unit
ρ = 6.29 g/cm3
formation energy without anion corrections = 0.430 eV/atom



No. 2
# Rb3Na3PbCl8

Rb3Na3PbCl8 after structural relaxation (PBE-GGA, Alexandria).

Geometry as POSCAR:
```
Rb3Na3PbCl8
1.0
4.276 2.469 7.533
-4.276 2.469 7.533
0.000 -4.938 7.533
Rb Na Pb Cl
3 3 1 8
Direct
0.000 0.500 0.500 Rb
0.500 0.000 0.500 Rb
0.500 0.500 0.000 Rb
0.000 0.000 0.500 Na
0.000 0.500 0.000 Na
0.500 0.000 0.000 Na
0.500 0.500 0.500 Pb
0.237 0.237 0.237 Cl
0.238 0.735 0.735 Cl
0.265 0.265 0.762 Cl
0.265 0.762 0.265 Cl
0.735 0.238 0.735 Cl
0.735 0.735 0.238 Cl
0.762 0.265 0.265 Cl
0.763 0.763 0.763 Cl
```

total magnetic moment = 0.00 μB per formula unit
ρ = 2.84 g/cm3
formation energy without anion corrections = -1.718 eV/atom



No. 3
# Ca3TaC

Ca3TaC after structural relaxation (PBE-GGA, Alexandria).

Geometry as POSCAR:
```
Ca3TaC
1.0
5.587 0.000 0.000
0.000 5.587 0.000
0.000 0.000 5.587
Ca Ta C
3 1 1
Direct
0.000 0.000 0.500 Ca
0.000 0.500 0.000 Ca
0.500 0.000 0.000 Ca
0.000 0.000 0.000 Ta
0.500 0.500 0.500 C
```

total magnetic moment = 0.89 μB per formula unit
ρ = 2.98 g/cm3
formation energy = 2.2450 eV/atom
relative energy among the computed polymorphs = 1.289 eV per atom